PmMg3Ge3 | PBE | relaxed

Lattice parameters (Å, degrees): 8.0834 8.0834 7.7659 58.64 58.64 60.00
Last column: nearest neighbours and their distance in Å.
Atoms (fractional coordinates):
Mg (0.2026, 0.8906, 0.3259)  4 Ge 2.71-2.90
Mg (0.7974, 0.1094, 0.6741)  4 Ge 2.71-2.90
Mg (0.5809, 0.2026, 0.3259)  4 Ge 2.71-2.90
Mg (0.4191, 0.7974, 0.6741)  4 Ge 2.71-2.90
Mg (0.1094, 0.4191, 0.6741)  4 Ge 2.71-2.90
Mg (0.8906, 0.5809, 0.3259)  4 Ge 2.71-2.90
Pm (0.6682, 0.6682, 0.9954)  6 Ge 2.99
Pm (0.3318, 0.3318, 0.0046)  6 Ge 2.99
Ge (0.2688, 0.5883, 0.2175)  4 Mg 2.71-2.90, 2 Pm 2.99
Ge (0.4117, 0.0746, 0.7825)  4 Mg 2.71-2.90, 2 Pm 2.99
Ge (0.0746, 0.7312, 0.7825)  4 Mg 2.71-2.90, 2 Pm 2.99
Ge (0.5883, 0.9254, 0.2175)  4 Mg 2.71-2.90, 2 Pm 2.99
Ge (0.9254, 0.2688, 0.2175)  4 Mg 2.71-2.90, 2 Pm 2.99
Ge (0.7312, 0.4117, 0.7825)  4 Mg 2.71-2.90, 2 Pm 2.99

Output
The magnetic moment is 0.000 μB per atom. The uncorrected energy comes out at -3.539 eV/atom. Its space group is R-3 (148).